Computed, not measured: MnCd2Tc after structural relaxation at the PBE level of DFT.

Results
Energy above the most stable polymorph in this dataset ... 0.3277 eV/atom
Energy relative to the elements ... 510 meV per atom
Electronic total energy ... -19.33 eV for the cell shown
Density of states at the Fermi level ... 3.59 states/eV per cell

Unit cell a=3.400 b=3.400 c=6.080 alpha=90.00 beta=90.00 gamma=90.00
Element x y z (fractional)
Mn: 0.000 0.000 0.000
Cd: 0.500 0.500 0.249
Cd: 0.500 0.500 0.751
Tc: 0.000 0.000 0.500